1.
VTeSe3, optimized geometry, DFT PBE; energy relative to the elements, uncorrected = -331 meV/atom; excess energy over the best structure of this formula in the dataset = 0.000 eV per atom; energy = -4.873 eV/atom; symmetry = Cm (8); magnetic moment = 0.092 μB per atom
1.0
-0.806 -5.657 -1.829
4.861 1.050 -5.491
2.191 -2.617 7.129
V Te Se
2 2 6
Direct
0.978 0.945 0.972 V
0.477 0.055 0.028 V
0.249 0.045 0.522 Te
0.749 0.955 0.478 Te
0.269 0.819 0.112 Se
0.739 0.672 0.836 Se
0.767 0.181 0.293 Se
0.236 0.328 0.164 Se
0.767 0.181 0.889 Se
0.269 0.819 0.707 Se

=====

2.
V4Te3Se, optimized geometry, DFT PBE; energy relative to the elements, uncorrected = -142 meV/atom; energy = -6.315 eV/atom; symmetry = Pmn2_1 (31); magnetic moment = 0.120 μB per atom
1.0
-1.899 4.815 -2.602
-6.471 -3.962 -2.607
-3.761 1.956 6.363
V Te Se
8 6 2
Direct
0.986 0.315 0.173 V
0.486 0.685 0.673 V
0.255 0.533 0.000 V
0.699 0.159 0.000 V
0.986 0.315 0.827 V
0.486 0.685 0.327 V
0.755 0.467 0.500 V
0.199 0.841 0.500 V
0.989 0.654 0.742 Te
0.489 0.346 0.242 Te
0.025 0.176 0.500 Te
0.989 0.654 0.258 Te
0.489 0.346 0.758 Te
0.525 0.824 0.000 Te
0.084 0.064 0.000 Se
0.584 0.936 0.500 Se

=====

3.
VTeSe2, optimized geometry, DFT PBE; energy relative to the elements, uncorrected = -419 meV/atom; energy = -5.226 eV/atom; symmetry = P2_1/m (11); magnetic moment = 0.151 μB per atom
1.0
-0.308 -3.415 -0.667
2.212 -1.197 5.111
-10.459 0.743 1.025
Se V Te
4 2 2
Direct
0.278 0.092 0.395 Se
0.778 0.094 0.708 Se
0.778 0.588 0.395 Se
0.278 0.598 0.708 Se
0.778 0.341 0.554 V
0.278 0.845 0.550 V
0.778 0.795 0.079 Te
0.278 0.391 0.025 Te

=====

4.
V2TeSe3, optimized geometry, DFT PBE; energy relative to the elements, uncorrected = -591 meV/atom; energy = -5.897 eV/atom; symmetry = P3m1 (156); magnetic moment = 0.327 μB per atom
1.0
-1.237 -3.159 0.045
3.354 0.509 0.037
-0.393 0.553 28.195
Se V Te
6 4 2
Direct
0.333 0.667 0.050 Se
0.333 0.667 0.937 Se
0.667 0.333 0.693 Se
0.667 0.333 0.806 Se
0.333 0.667 0.561 Se
0.333 0.667 0.448 Se
0.667 0.333 0.994 V
0.333 0.667 0.750 V
0.667 0.333 0.505 V
0.333 0.667 0.249 V
0.667 0.333 0.184 Te
0.667 0.333 0.314 Te